1.
Computed, not measured: a PBEsol-optimized structure of Li4Mn3SnO8 at the SCAN level of DFT.

E_form (uncorrected)   -2094 meV/atom

Unit cell a=10.1767 b=6.1601 c=6.0804 alpha=90.00 beta=125.41 gamma=90.00
Space group C2/m (No. 12)
Inequivalent atoms, fractional coordinates:
Li (0.0000, 0.0000, 0.0000) x2
Li (0.0000, 0.5000, 0.0000) x2
Li (0.2500, 0.2500, 0.5000) x4
Mn (0.0000, 0.0000, 0.5000) x2
Mn (0.2500, 0.2500, 0.0000) x4
Sn (0.0000, 0.5000, 0.5000) x2
O (0.0145, 0.2580, 0.7569) x8
O (0.2463, 0.5000, 0.7211) x4
O (0.2474, 0.0000, 0.7974) x4

---

2.
Computed, not measured: a PBEsol-optimized structure of RbReF3 at the SCAN level of DFT.

E_form (uncorrected)   -1460 meV/atom

Unit cell a=4.2180 b=4.2180 c=4.2180 alpha=90.00 beta=90.00 gamma=90.00
Space group Pm-3m (No. 221)
Inequivalent atoms, fractional coordinates:
Rb (0.0000, 0.0000, 0.0000) x1
Re (0.5000, 0.5000, 0.5000) x1
F (0.0000, 0.5000, 0.5000) x3

---

3.
Computed, not measured: a PBEsol-optimized structure of SrMo2Au at the SCAN level of DFT.

Formation energy   0.639 eV/atom

Unit cell a=3.6486 b=3.6486 c=6.7940 alpha=90.00 beta=90.00 gamma=90.00
Space group P4/mmm (No. 123)
Inequivalent atoms, fractional coordinates:
Sr (0.0000, 0.0000, 0.0000) x1
Mo (0.5000, 0.5000, 0.3441) x2
Au (0.0000, 0.0000, 0.5000) x1

---

4.
Computed, not measured: a PBEsol-optimized structure of La2TaZn at the SCAN level of DFT.

Formation energy   0.211 eV/atom

Unit cell a=3.2906 b=4.8434 c=6.3942 alpha=90.00 beta=104.72 gamma=90.00
Space group Pm (No. 6)
Inequivalent atoms, fractional coordinates:
La (0.0000, 0.0000, 0.0000) x1
La (0.3055, 0.5000, 0.6203) x1
Ta (0.5945, 0.5000, 0.1889) x1
Zn (0.7110, 0.0000, 0.4291) x1

---

no.,VASP energy (eV per atom)
1,-11.475
2,-21.951
3,-39.662
4,-41.366